Entry one
SrW3Br (PBE, relaxed); volume = 122 Å³ per cell
1.0
4.965 0.000 0.000
0.000 4.965 0.000
0.000 0.000 4.965
W Sr Br
3 1 1
direct
0.000 0.000 0.500
0.000 0.500 0.000
0.500 0.000 0.000
0.000 0.000 0.000
0.500 0.500 0.500

=====

Entry two
SrW3Br (PBE, relaxed); volume = 108 Å³ per cell
1.0
-0.790 -1.778 -4.354
-0.099 -4.407 1.817
-4.702 0.391 0.693
W Br Sr
3 1 1
direct
0.000 0.500 0.000
0.000 0.000 0.500
0.500 0.000 0.000
0.000 0.000 0.000
0.500 0.500 0.500

=====

Preferred: entry two; penalty for the next structure: 1956 meV/atom.

=====

Entry one
Sr2YBr (PBE, relaxed); volume = 336 Å³ per cell
1.0
-0.003 -9.374 -1.420
7.774 -0.815 5.366
1.747 -5.553 5.001
Sr Br Y
4 2 2
direct
0.375 0.442 0.750
0.192 0.625 0.250
0.558 0.125 0.250
0.875 0.808 0.750
0.250 0.750 0.500
0.500 0.500 0.000
0.000 0.000 0.000
0.750 0.250 0.500

=====

Entry two
Sr2YBr (PBE, relaxed); volume = 165 Å³ per cell
1.0
-3.260 1.807 -1.161
-2.138 -2.180 2.612
1.212 7.125 7.685
Y Sr Br
1 2 1
direct
0.500 0.250 0.250
0.000 0.720 0.511
0.000 0.780 0.989
0.500 0.750 0.750

=====

Preferred: entry two; penalty for the next structure: 327 meV/atom.

=====

Entry one
Sr2YBr2 (PBE, relaxed); volume = 332 Å³ per cell
1.0
9.232 0.000 0.000
0.000 9.232 0.000
0.000 0.000 3.898
Br Y Sr
4 2 4
direct
0.367 0.867 0.000
0.633 0.133 0.000
0.133 0.367 0.000
0.867 0.633 0.000
0.500 0.500 0.000
0.000 0.000 0.000
0.171 0.671 0.500
0.829 0.329 0.500
0.329 0.171 0.500
0.671 0.829 0.500

=====

Entry two
Sr2YBr2 (PBE, relaxed); volume = 199 Å³ per cell
1.0
-2.103 4.896 -3.899
-4.661 1.520 4.423
-0.490 6.088 2.320
Sr Br Y
2 2 1
direct
0.250 0.750 0.500
0.750 0.250 0.500
0.301 0.301 0.397
0.699 0.699 0.603
0.000 0.000 0.000

=====

Preferred: entry one; penalty for the next structure: 108 meV/atom.

=====

Entry one
SrY3Br (PBE, relaxed); volume = 202 Å³ per cell
1.0
-5.054 1.558 -2.551
-2.044 -5.458 0.716
-2.181 1.504 5.240
Sr Br Y
1 1 3
direct
0.000 0.000 0.000
0.500 0.500 0.500
0.000 0.000 0.500
0.000 0.500 0.000
0.500 0.000 0.000

=====

Entry two
SrY3Br (PBE, relaxed); volume = 173 Å³ per cell
1.0
5.573 0.000 0.000
0.000 5.573 0.000
0.000 0.000 5.573
Br Sr Y
1 1 3
direct
0.000 0.000 0.000
0.500 0.500 0.500
0.000 0.000 0.500
0.000 0.500 0.000
0.500 0.000 0.000

=====

Preferred: entry two; penalty for the next structure: 1223 meV/atom.

=====

Entry one
Sr3YBr (PBE, relaxed); volume = 295 Å³ per cell
1.0
6.655 0.000 0.000
0.000 6.655 0.000
0.000 0.000 6.655
Br Y Sr
1 1 3
direct
0.500 0.500 0.500
0.000 0.000 0.000
0.500 0.000 0.000
0.000 0.500 0.000
0.000 0.000 0.500

=====

Entry two
Sr3YBr (PBE, relaxed); volume = 224 Å³ per cell
1.0
6.069 0.000 0.000
0.000 6.069 0.000
0.000 0.000 6.069
Sr Br Y
3 1 1
direct
0.000 0.500 0.000
0.000 0.000 0.500
0.500 0.000 0.000
0.000 0.000 0.000
0.500 0.500 0.500

=====

Preferred: entry two; penalty for the next structure: 665 meV/atom.

=====

Entry one
SrYBr3 (PBE, relaxed); volume = 203 Å³ per cell
1.0
-4.002 2.602 3.429
-4.275 -2.949 -2.752
0.502 -4.367 3.901
Sr Br Y
1 3 1
direct
0.000 0.000 0.000
0.000 0.000 0.500
0.000 0.500 0.000
0.500 0.000 0.000
0.500 0.500 0.500

=====

Entry two
SrYBr3 (PBE, relaxed); volume = 179 Å³ per cell
1.0
5.639 0.000 0.000
0.000 5.639 0.000
0.000 0.000 5.639
Sr Br Y
1 3 1
direct
0.500 0.500 0.500
0.000 0.000 0.500
0.500 0.000 0.000
0.000 0.500 0.000
0.000 0.000 0.000

=====

Preferred: entry two; penalty for the next structure: 288 meV/atom.